Gd2Al2Ni3Pd: optimized geometry, PBE.

a b c (Å): 4.2074 4.2074 9.0979
angles (deg): 90.00 90.00 120.00
Space group P3m1 (No. 156)
Inequivalent atoms, fractional coordinates:
Gd 0.0000 0.0000 0.0000 (multiplicity 1)
Gd 0.3333 0.6667 0.4868 (multiplicity 1)
Al 0.6667 0.3333 0.2430 (multiplicity 1)
Al 0.6667 0.3333 0.7301 (multiplicity 1)
Ni 0.0000 0.0000 0.3027 (multiplicity 1)
Ni 0.0000 0.0000 0.6732 (multiplicity 1)
Ni 0.3333 0.6667 0.1814 (multiplicity 1)
Pd 0.3333 0.6667 0.8165 (multiplicity 1)

Properties
The value obtained for the total energy is -5.4850 eV/atom.



PrGd2Al3Ni3: optimized geometry, PBE.

a b c (Å): 3.968 12.114 7.065
angles (deg): 90.00 90.00 90.00
Space group Amm2 (No. 38)
Inequivalent atoms, fractional coordinates:
Pr 0.000 0.000 0.000 (multiplicity 2)
Gd 0.000 0.209 0.371 (multiplicity 4)
Al 0.500 0.000 0.353 (multiplicity 2)
Al 0.500 0.118 0.692 (multiplicity 4)
Ni 0.000 0.000 0.577 (multiplicity 2)
Ni 0.500 0.171 0.082 (multiplicity 4)

Properties
The value obtained for the total energy is -5.2228 eV/atom.



PrGdAl2Ni4: optimized geometry, PBE.

a b c (Å): 4.1536 4.1536 9.2007
angles (deg): 90.00 90.00 120.00
Space group P-6m2 (No. 187)
Inequivalent atoms, fractional coordinates:
Pr 0.0000 0.0000 0.0000 (multiplicity 1)
Gd 0.6667 0.3333 0.5000 (multiplicity 1)
Al 0.3333 0.6667 0.2579 (multiplicity 2)
Ni 0.0000 0.0000 0.3158 (multiplicity 2)
Ni 0.6667 0.3333 0.2004 (multiplicity 2)

Properties
The value obtained for the total energy is -5.4367 eV/atom.



PrGdAlNi2: optimized geometry, PBE.

a b c (Å): 4.242 5.469 8.514
angles (deg): 90.00 90.00 90.00
Space group Imm2 (No. 44)
Inequivalent atoms, fractional coordinates:
Pr 0.000 0.000 0.000 (multiplicity 2)
Gd 0.000 0.000 0.407 (multiplicity 2)
Al 0.000 0.500 0.203 (multiplicity 2)
Ni 0.000 0.266 0.704 (multiplicity 4)

Properties
The value obtained for the total energy is -5.3272 eV/atom.



Gd2Al2NiPt3: optimized geometry, PBE.

a b c (Å): 4.3139 4.3139 9.2801
angles (deg): 90.00 90.00 120.00
Space group P3m1 (No. 156)
Inequivalent atoms, fractional coordinates:
Gd 0.0000 0.0000 0.0000 (multiplicity 1)
Gd 0.3333 0.6667 0.5058 (multiplicity 1)
Al 0.6667 0.3333 0.2541 (multiplicity 1)
Al 0.6667 0.3333 0.7519 (multiplicity 1)
Ni 0.0000 0.0000 0.6840 (multiplicity 1)
Pt 0.0000 0.0000 0.3385 (multiplicity 1)
Pt 0.3333 0.6667 0.1732 (multiplicity 1)
Pt 0.3333 0.6667 0.8197 (multiplicity 1)

Properties
The value obtained for the total energy is -6.0906 eV/atom.



Gd2Al4NiPt: optimized geometry, PBE.

a b c (Å): 6.938 4.167 10.439
angles (deg): 90.00 90.00 90.00
Space group Amm2 (No. 38)
Inequivalent atoms, fractional coordinates:
Gd 0.000 0.000 0.000 (multiplicity 2)
Gd 0.500 0.000 0.127 (multiplicity 2)
Al 0.204 0.000 0.721 (multiplicity 4)
Al 0.311 0.000 0.412 (multiplicity 4)
Ni 0.500 0.000 0.852 (multiplicity 2)
Pt 0.000 0.000 0.280 (multiplicity 2)

Properties
The value obtained for the total energy is -5.2874 eV/atom.